# LiZn2AgAu2 | Alexandria via LeMat-Bulk | PBE-GGA | optimized geometry
# - Total DFT energy (no corrections): -2.620 eV/atom
# - ρ: 11.05 g/cm³
data_LiZn2AgAu2
_chemical_formula_sum 'Li1 Zn2 Ag1 Au2'
_cell_length_a 4.5130
_cell_length_b 4.5130
_cell_length_c 5.4466
_cell_angle_alpha 90.00
_cell_angle_beta 90.00
_cell_angle_gamma 120.00
_space_group_name_H-M_alt 'P -3 m 1'
_space_group_IT_number 164
_space_group_name_Hall '-P 3 2"'
loop_
_atom_site_label
_atom_site_type_symbol
_atom_site_fract_x
_atom_site_fract_y
_atom_site_fract_z
Li1 Li 0.0000 0.0000 0.0000
Zn1 Zn 0.3333 0.6667 0.3077
Ag1 Ag 0.0000 0.0000 0.5000
Au1 Au 0.3333 0.6667 0.8073



# AlRhCl2 | Alexandria via LeMat-Bulk | PBE-GGA | optimized geometry
# - Raw formation energy: -0.39 eV/atom
# - ρ: 3.17 g/cm³
# - Energy above the lowest structure with this stoichiometry: 202 meV per atom
data_AlRhCl2
_chemical_formula_sum 'Al2 Rh2 Cl4'
_cell_length_a 3.041
_cell_length_b 7.779
_cell_length_c 8.881
_cell_angle_alpha 90.00
_cell_angle_beta 90.00
_cell_angle_gamma 90.00
_space_group_name_H-M_alt 'I m m 2'
_space_group_IT_number 44
loop_
_space_group_symop_operation_xyz
'x,y,z'
'-x,-y,z'
'-x,y,z'
'x,-y,z'
'x+1/2,y+1/2,z+1/2'
'-x+1/2,-y+1/2,z+1/2'
'-x+1/2,y+1/2,z+1/2'
'x+1/2,-y+1/2,z+1/2'
loop_
_atom_site_label
_atom_site_type_symbol
_atom_site_fract_x
_atom_site_fract_y
_atom_site_fract_z
Al1 Al 0.000 0.000 0.000
Rh1 Rh 0.000 0.500 0.277
Cl1 Cl 0.000 0.000 0.587
Cl2 Cl 0.000 0.500 0.696



# Ce6PuHAu2 | Alexandria via LeMat-Bulk | PBE-GGA | optimized geometry
# - Total DFT energy (no corrections): -6.338 eV/atom
# - ρ: 10.07 g/cm³
data_Ce6PuHAu2
_chemical_formula_sum 'Ce12 Pu2 H2 Au4'
_cell_length_a 12.042
_cell_length_b 6.996
_cell_length_c 6.992
_cell_angle_alpha 90.00
_cell_angle_beta 124.09
_cell_angle_gamma 90.00
_space_group_name_H-M_alt 'C 1 2/m 1'
_space_group_IT_number 12
loop_
_space_group_symop_operation_xyz
'x,y,z'
'-x,-y,-z'
'-x,y,-z'
'x,-y,z'
'x+1/2,y+1/2,z'
'-x+1/2,-y+1/2,-z'
'-x+1/2,y+1/2,-z'
'x+1/2,-y+1/2,z'
loop_
_atom_site_label
_atom_site_type_symbol
_atom_site_fract_x
_atom_site_fract_y
_atom_site_fract_z
Ce1 Ce 0.040 0.245 0.281
Ce2 Ce 0.239 0.000 0.154
Pu1 Pu 0.000 0.000 0.000
H1 H 0.000 0.500 0.500
Au1 Au 0.242 0.000 0.729



# LiOsBr2 | Alexandria via LeMat-Bulk | PBE-GGA | optimized geometry
# - Raw formation energy: 0.45 eV/atom
# - ρ: 7.05 g/cm³
# - Energy above the lowest structure with this stoichiometry: 369 meV per atom
data_LiOsBr2
_chemical_formula_sum 'Li2 Os2 Br4'
_cell_length_a 3.082
_cell_length_b 5.498
_cell_length_c 9.930
_cell_angle_alpha 90.00
_cell_angle_beta 90.00
_cell_angle_gamma 90.00
_space_group_name_H-M_alt 'C m m 2'
_space_group_IT_number 35
loop_
_space_group_symop_operation_xyz
'x,y,z'
'-x,-y,z'
'-x,y,z'
'x,-y,z'
'x+1/2,y+1/2,z'
'-x+1/2,-y+1/2,z'
'-x+1/2,y+1/2,z'
'x+1/2,-y+1/2,z'
loop_
_atom_site_label
_atom_site_type_symbol
_atom_site_fract_x
_atom_site_fract_y
_atom_site_fract_z
Li1 Li 0.000 0.000 0.000
Os1 Os 0.000 0.500 0.761
Br1 Br 0.000 0.000 0.565
Br2 Br 0.000 0.500 0.192



# Li4YZn | Alexandria via LeMat-Bulk | PBE-GGA | optimized geometry
# - Total DFT energy (no corrections): -2.554 eV/atom
# - ρ: 2.70 g/cm³
data_Li4YZn
_chemical_formula_sum 'Li16 Y4 Zn4'
_cell_length_a 7.649
_cell_length_b 7.649
_cell_length_c 7.649
_cell_angle_alpha 90.00
_cell_angle_beta 90.00
_cell_angle_gamma 90.00
_space_group_name_H-M_alt 'F -4 3 m'
_space_group_IT_number 216
_space_group_name_Hall 'F -4 2 3'
loop_
_atom_site_label
_atom_site_type_symbol
_atom_site_fract_x
_atom_site_fract_y
_atom_site_fract_z
Li1 Li 0.123 0.123 0.377
Y1 Y 0.000 0.000 0.000
Zn1 Zn 0.250 0.250 0.750



# LiAuSe2 | Alexandria via LeMat-Bulk | PBE-GGA | optimized geometry
# - Raw formation energy: -0.34 eV/atom
# - ρ: 7.25 g/cm³
data_LiAuSe2
_chemical_formula_sum 'Li2 Au2 Se4'
_cell_length_a 7.522
_cell_length_b 7.524
_cell_length_c 2.932
_cell_angle_alpha 90.00
_cell_angle_beta 93.12
_cell_angle_gamma 90.00
_space_group_name_H-M_alt 'C 1 2/m 1'
_space_group_IT_number 12
loop_
_space_group_symop_operation_xyz
'x,y,z'
'-x,-y,-z'
'-x,y,-z'
'x,-y,z'
'x+1/2,y+1/2,z'
'-x+1/2,-y+1/2,-z'
'-x+1/2,y+1/2,-z'
'x+1/2,-y+1/2,z'
loop_
_atom_site_label
_atom_site_type_symbol
_atom_site_fract_x
_atom_site_fract_y
_atom_site_fract_z
Li1 Li 0.000 0.000 0.000
Au1 Au 0.000 0.500 0.000
Se1 Se 0.250 0.250 0.000



# Th2NiBi | Alexandria via LeMat-Bulk | PBE-GGA | optimized geometry
# - ρ: 11.23 g/cm³
# - Energy above the lowest structure with this stoichiometry: 0 meV per atom
data_Th2NiBi
_chemical_formula_sum 'Th4 Ni2 Bi2'
_cell_length_a 6.463
_cell_length_b 4.059
_cell_length_c 8.777
_cell_angle_alpha 90.00
_cell_angle_beta 109.92
_cell_angle_gamma 90.00
_space_group_name_H-M_alt 'P 1 21/m 1'
_space_group_IT_number 11
loop_
_space_group_symop_operation_xyz
'x,y,z'
'-x,-y,-z'
'-x,y+1/2,-z'
'x,-y+1/2,z'
loop_
_atom_site_label
_atom_site_type_symbol
_atom_site_fract_x
_atom_site_fract_y
_atom_site_fract_z
Th1 Th 0.159 0.250 0.387
Th2 Th 0.245 0.750 0.039
Ni1 Ni 0.138 0.250 0.786
Bi1 Bi 0.384 0.750 0.703



# TcSbBr2 | Alexandria via LeMat-Bulk | PBE-GGA | optimized geometry
# - Raw formation energy: 0.24 eV/atom
# - ρ: 6.61 g/cm³
# - Energy above the lowest structure with this stoichiometry: 234 meV per atom
data_TcSbBr2
_chemical_formula_sum 'Tc1 Sb1 Br2'
_cell_length_a 3.221
_cell_length_b 3.221
_cell_length_c 9.182
_cell_angle_alpha 90.00
_cell_angle_beta 90.00
_cell_angle_gamma 90.00
_space_group_name_H-M_alt 'P 4 m m'
_space_group_IT_number 99
loop_
_space_group_symop_operation_xyz
'x,y,z'
'-y,x,z'
'-x,-y,z'
'y,-x,z'
'-x,y,z'
'y,x,z'
'x,-y,z'
'-y,-x,z'
loop_
_atom_site_label
_atom_site_type_symbol
_atom_site_fract_x
_atom_site_fract_y
_atom_site_fract_z
Tc1 Tc 0.000 0.000 0.000
Sb1 Sb 0.500 0.500 0.815
Br1 Br 0.000 0.000 0.542
Br2 Br 0.500 0.500 0.176